First-principles (GGA-PBE) data for a geometry-optimized Nd4Sb2Ir structure, as listed in Alexandria via LeMat-Bulk.

The structure belongs to space group C2/m (No. 12); the cell edges are 16.075, 4.389 and 7.511 Å and the angles 90.00°, 117.29° and 90.00°. The asymmetric unit holds Nd at (0.116, 0.000, 0.425), Nd at (0.117, 0.500, 0.980), Sb at (0.233, 0.500, 0.732) and Ir at (0.000, 0.000, 0.000).

Its crystal system is monoclinic. As for the size of the total moment: 0.0001 μB/atom. Its uncorrected formation energy is -0.7193 eV/atom. The calculated total energy comes out at -0.2164 hartree per atom.

***

First-principles (GGA-PBE) data for a geometry-optimized ReTcRh structure, as listed in Alexandria via LeMat-Bulk.

The structure belongs to space group P-6m2 (No. 187); the cell edges are 4.3627, 4.3627 and 2.7052 Å and the angles 90.00°, 90.00° and 120.00°. The asymmetric unit holds Re at (0.0000, 0.0000, 0.0000), Tc at (0.3333, 0.6667, 0.0000) and Rh at (0.6667, 0.3333, 0.5000).

Its crystal system is hexagonal. As for the size of the total moment: 0.0000 μB/atom. The calculated total energy comes out at -0.3661 hartree per atom. Its polymorph energy (0 for the lowest one) is 0.1817 eV/atom.

***

First-principles (GGA-PBE) data for a geometry-optimized LiIrBr2 structure, as listed in Alexandria via LeMat-Bulk.

The structure belongs to space group Immm (No. 71); the cell edges are 3.664, 4.335 and 13.079 Å and the angles 90.00°, 90.00° and 90.00°. The asymmetric unit holds Li at (0.000, 0.000, 0.000), Ir at (0.000, 0.000, 0.500) and Br at (0.000, 0.500, 0.129).

Its crystal system is orthorhombic. As for the size of the total moment: 0.0000 μB/atom. Its uncorrected formation energy is -0.3179 eV/atom. The calculated total energy comes out at -0.1414 hartree per atom. Its polymorph energy (0 for the lowest one) is 0.0000 eV/atom.

***

First-principles (GGA-PBE) data for a geometry-optimized AsPSe2F structure, as listed in Alexandria via LeMat-Bulk.

The structure belongs to space group P4/mmm (No. 123); the cell edges are 4.766, 4.766 and 4.776 Å and the angles 90.00°, 90.00° and 90.00°. The asymmetric unit holds As at (0.000, 0.000, 0.000), P at (0.000, 0.000, 0.500), Se at (0.000, 0.500, 0.500) and F at (0.500, 0.500, 0.000).

Its crystal system is tetragonal. As for the size of the total moment: 0.0000 μB/atom. Its uncorrected formation energy is 0.4193 eV/atom. The calculated total energy comes out at -0.1235 hartree per atom. Its polymorph energy (0 for the lowest one) is 0.0000 eV/atom.

***

First-principles (GGA-PBE) data for a geometry-optimized PaAgGe2 structure, as listed in Alexandria via LeMat-Bulk.

The structure belongs to space group Fm-3m (No. 225); the cell edges are 6.877, 6.877 and 6.877 Å and the angles 90.00°, 90.00° and 90.00°. The asymmetric unit holds Pa at (0.000, 0.000, 0.000), Ag at (0.000, 0.000, 0.500) and Ge at (0.250, 0.250, 0.250).

Its crystal system is cubic. As for the size of the total moment: 0.0001 μB/atom. The calculated total energy comes out at -0.2017 hartree per atom. Its polymorph energy (0 for the lowest one) is 0.2524 eV/atom.

***

First-principles (GGA-PBE) data for a geometry-optimized Nd14HoZr structure, as listed in Alexandria via LeMat-Bulk.

The structure belongs to space group P4/mmm (No. 123); the cell edges are 7.275, 7.275 and 10.289 Å and the angles 90.00°, 90.00° and 90.00°. The asymmetric unit holds Nd at (0.000, 0.000, 0.000), Nd at (0.000, 0.500, 0.000), Nd at (0.000, 0.500, 0.500), Nd at (0.245, 0.245, 0.258), Nd at (0.500, 0.500, 0.000), Ho at (0.500, 0.500, 0.500) and Zr at (0.000, 0.000, 0.500).

Its crystal system is tetragonal. As for the size of the total moment: 0.0000 μB/atom. The calculated total energy comes out at -0.1817 hartree per atom.